# DyLuRu4

DyLuRu4 after structural relaxation (PBE, Alexandria via LeMat-Bulk).

```
data_DyLuRu4
_space_group_name_H-M_alt 'F -4 3 m'
_space_group_IT_number 216
_space_group_name_Hall 'F -4 2 3'
_cell_length_a 7.506
_cell_length_b 7.506
_cell_length_c 7.506
_cell_angle_alpha 90.00
_cell_angle_beta 90.00
_cell_angle_gamma 90.00
loop_
_atom_site_label
_atom_site_fract_x
_atom_site_fract_y
_atom_site_fract_z
Dy1 0.000 0.000 0.000
Lu1 0.250 0.250 0.750
Ru1 0.125 0.125 0.375
```

Values from the calculation:
Total moment: 0.0 Bohr magnetons per cell
E_form: -0.332 eV per atom
Total DFT energy (no corrections): -8.037 eV/atom